{
  "formula": "BaZn2Cr",
  "functional": "PBE-GGA",
  "state": "relaxed",
  "cell": [[3.628, 0.000, 0.000], [0.000, 3.628, 0.000], [0.000, 0.000, 7.408]],
  "species": ["Ba", "Zn", "Zn", "Cr"],
  "fractional_positions": [[0.000, 0.000, 0.000], [0.000, 0.000, 0.481], [0.500, 0.500, 0.692], [0.500, 0.500, 0.343]],
  "sg": "P4mm, No. 99",
  "formation_enthalpy_0k_ev_per_atom": 0.3523,
  "magnetic_moment_mub_per_fu": 4.10
}